Density functional theory data (PBEsol) for an optimized crystal structure of HgOsSe2.

Computed properties:
The calculation puts the uncorrected formation energy at 0.303 eV/atom. Its space group is P4mm, No. 99.

POSCAR file:
```
HgOsSe2
1.0
2.9465 0.0000 0.0000
0.0000 2.9465 0.0000
0.0000 0.0000 8.9383
Se Hg Os
2 1 1
direct
0.0000 0.0000 0.9283
0.5000 0.5000 0.2569
0.0000 0.0000 0.5390
0.5000 0.5000 0.7758
```